First-principles (meta-GGA SCAN) data for ZrTc2As2 at its PBEsol-relaxed geometry, as listed in the Alexandria database. Values from VASP.

Output
calculated total energy: -143.5 eV per cell
energy of formation from the pure elements: -0.46 eV per atom
space group: I4/mmm
density of states at the Fermi level: 0.4396 states/eV/atom
E above lowest polymorph: 0.000 eV/atom

Structure (Quantum ESPRESSO input):
```
&SYSTEM
  ibrav = 0, nat = 5, ntyp = 3
/
ATOMIC_SPECIES
Zr 91.22 Zr.upf
Tc 98.00 Tc.upf
As 74.92 As.upf
ATOMIC_POSITIONS angstrom
Zr 0.000 0.000 0.000
Tc 2.112 0.000 2.353
Tc 0.000 2.112 2.353
As 0.000 0.000 3.494
As 0.000 0.000 5.917
CELL_PARAMETERS angstrom
-2.112 2.112 4.705
2.112 -2.112 4.705
2.112 2.112 -4.705
```

First-principles (meta-GGA SCAN) data for TeAs3 at its PBEsol-relaxed geometry, as listed in the Alexandria database. Values from VASP.

Output
calculated total energy: -96.2 eV per cell
space group: P4/mmm
density of states at the Fermi level: 0.4740 states/eV/atom
E above lowest polymorph: 0.132 eV/atom
raw formation energy: 0.4029 eV/atom

Structure (Quantum ESPRESSO input):
```
&SYSTEM
  ibrav = 0, nat = 4, ntyp = 2
/
ATOMIC_SPECIES
Te 127.60 Te.upf
As 74.92 As.upf
ATOMIC_POSITIONS angstrom
Te 0.000 0.000 0.000
As 0.000 0.000 3.796
As 1.678 1.678 2.392
As 1.678 1.678 5.200
CELL_PARAMETERS angstrom
3.357 0.000 0.000
0.000 3.357 0.000
0.000 0.000 7.592
```

First-principles (meta-GGA SCAN) data for TeAs3 at its PBEsol-relaxed geometry, as listed in the Alexandria database. Values from VASP.

Output
calculated total energy: -96.7 eV per cell
space group: P-6m2
density of states at the Fermi level: 0.4088 states/eV/atom
E above lowest polymorph: 0.000 eV/atom
raw formation energy: 0.2706 eV/atom

Structure (Quantum ESPRESSO input):
```
&SYSTEM
  ibrav = 0, nat = 4, ntyp = 2
/
ATOMIC_SPECIES
Te 127.60 Te.upf
As 74.92 As.upf
ATOMIC_POSITIONS angstrom
Te 0.000 0.000 0.000
As 0.000 0.000 3.736
As 1.851 1.068 2.053
As 1.851 1.068 5.419
CELL_PARAMETERS angstrom
3.701 0.000 0.000
-1.851 3.205 0.000
0.000 0.000 7.471
```

First-principles (meta-GGA SCAN) data for Te3As at its PBEsol-relaxed geometry, as listed in the Alexandria database. Values from VASP.

Output
calculated total energy: -131.7 eV per cell
space group: R-3m
density of states at the Fermi level: 0.5447 states/eV/atom
E above lowest polymorph: 0.000 eV/atom
raw formation energy: 0.0623 eV/atom

Structure (Quantum ESPRESSO input):
```
&SYSTEM
  ibrav = 0, nat = 4, ntyp = 2
/
ATOMIC_SPECIES
Te 127.60 Te.upf
As 74.92 As.upf
ATOMIC_POSITIONS angstrom
Te 0.000 0.000 0.000
Te 0.000 0.000 5.249
Te 0.000 0.000 16.478
As 0.000 0.000 10.864
CELL_PARAMETERS angstrom
2.110 1.218 7.242
-2.110 1.218 7.242
0.000 -2.437 7.242
```

First-principles (meta-GGA SCAN) data for Te3As at its PBEsol-relaxed geometry, as listed in the Alexandria database. Values from VASP.

Output
calculated total energy: -131.6 eV per cell
space group: P2/m
density of states at the Fermi level: 0.5513 states/eV/atom
E above lowest polymorph: 0.012 eV/atom
raw formation energy: 0.0746 eV/atom

Structure (Quantum ESPRESSO input):
```
&SYSTEM
  ibrav = 0, nat = 4, ntyp = 2
/
ATOMIC_SPECIES
Te 127.60 Te.upf
As 74.92 As.upf
ATOMIC_POSITIONS angstrom
Te 0.000 0.000 0.000
Te 0.079 2.126 3.673
Te 3.364 2.126 1.340
As 1.722 0.000 2.507
CELL_PARAMETERS angstrom
5.259 0.000 0.000
0.000 4.253 0.000
-1.816 0.000 5.013
```

First-principles (meta-GGA SCAN) data for Te3As at its PBEsol-relaxed geometry, as listed in the Alexandria database. Values from VASP.

Output
calculated total energy: -130.3 eV per cell
space group: P4/mmm
density of states at the Fermi level: 0.6290 states/eV/atom
E above lowest polymorph: 0.356 eV/atom
raw formation energy: 0.4182 eV/atom

Structure (Quantum ESPRESSO input):
```
&SYSTEM
  ibrav = 0, nat = 4, ntyp = 2
/
ATOMIC_SPECIES
Te 127.60 Te.upf
As 74.92 As.upf
ATOMIC_POSITIONS angstrom
Te 0.000 0.000 0.000
Te 0.000 2.592 1.849
Te 2.592 0.000 1.849
As 2.592 2.592 0.000
CELL_PARAMETERS angstrom
5.185 0.000 0.000
0.000 5.185 0.000
0.000 0.000 3.697
```

First-principles (meta-GGA SCAN) data for Te4As3 at its PBEsol-relaxed geometry, as listed in the Alexandria database. Values from VASP.

Output
calculated total energy: -206.1 eV per cell
space group: P6/mmm
density of states at the Fermi level: 0.6513 states/eV/atom
raw formation energy: 0.4953 eV/atom

Structure (Quantum ESPRESSO input):
```
&SYSTEM
  ibrav = 0, nat = 7, ntyp = 2
/
ATOMIC_SPECIES
Te 127.60 Te.upf
As 74.92 As.upf
ATOMIC_POSITIONS angstrom
Te 0.000 0.000 1.696
Te 0.000 0.000 5.442
Te 0.000 3.070 3.569
Te 2.659 1.535 3.569
As -1.329 2.302 0.000
As 2.659 0.000 0.000
As 1.329 2.302 0.000
CELL_PARAMETERS angstrom
5.317 0.000 0.000
-2.659 4.605 0.000
0.000 0.000 7.138
```

First-principles (meta-GGA SCAN) data for TiTe2AsW at its PBEsol-relaxed geometry, as listed in the Alexandria database. Values from VASP.

Output
calculated total energy: -175.6 eV per cell
space group: P4/mmm
density of states at the Fermi level: 0.8570 states/eV/atom
raw formation energy: 0.9541 eV/atom

Structure (Quantum ESPRESSO input):
```
&SYSTEM
  ibrav = 0, nat = 5, ntyp = 4
/
ATOMIC_SPECIES
Ti 47.87 Ti.upf
Te 127.60 Te.upf
As 74.92 As.upf
W 183.84 W.upf
ATOMIC_POSITIONS angstrom
Ti 0.000 0.000 0.000
Te 0.000 2.564 2.417
Te 2.564 0.000 2.417
As 2.564 2.564 0.000
W 0.000 0.000 2.417
CELL_PARAMETERS angstrom
5.128 0.000 0.000
0.000 5.128 0.000
0.000 0.000 4.835
```

First-principles (meta-GGA SCAN) data for TlTeAs at its PBEsol-relaxed geometry, as listed in the Alexandria database. Values from VASP.

Output
calculated total energy: -129.1 eV per cell
space group: P-6m2
density of states at the Fermi level: 0.5052 states/eV/atom
E above lowest polymorph: 0.175 eV/atom
raw formation energy: 0.2386 eV/atom

Structure (Quantum ESPRESSO input):
```
&SYSTEM
  ibrav = 0, nat = 3, ntyp = 3
/
ATOMIC_SPECIES
Tl 204.38 Tl.upf
Te 127.60 Te.upf
As 74.92 As.upf
ATOMIC_POSITIONS angstrom
Tl 0.000 0.000 0.000
Te 2.670 1.541 1.549
As 0.000 3.083 1.549
CELL_PARAMETERS angstrom
5.339 0.000 0.000
-2.670 4.624 0.000
0.000 0.000 3.097
```

First-principles (meta-GGA SCAN) data for TlTeAs at its PBEsol-relaxed geometry, as listed in the Alexandria database. Values from VASP.

Output
calculated total energy: -129.6 eV per cell
space group: I4mm
density of states at the Fermi level: 0.4015 states/eV/atom
E above lowest polymorph: 0.000 eV/atom
raw formation energy: 0.0633 eV/atom

Structure (Quantum ESPRESSO input):
```
&SYSTEM
  ibrav = 0, nat = 3, ntyp = 3
/
ATOMIC_SPECIES
Tl 204.38 Tl.upf
Te 127.60 Te.upf
As 74.92 As.upf
ATOMIC_POSITIONS angstrom
Tl 0.000 0.000 0.000
Te 0.000 0.000 3.312
As 0.000 0.000 8.053
CELL_PARAMETERS angstrom
-1.892 1.892 5.761
1.892 -1.892 5.761
1.892 1.892 -5.761
```

First-principles (meta-GGA SCAN) data for TlTeAs at its PBEsol-relaxed geometry, as listed in the Alexandria database. Values from VASP.

Output
calculated total energy: -128.5 eV per cell
space group: F-43m
density of states at the Fermi level: 0.9460 states/eV/atom
E above lowest polymorph: 0.369 eV/atom
raw formation energy: 0.4325 eV/atom

Structure (Quantum ESPRESSO input):
```
&SYSTEM
  ibrav = 0, nat = 3, ntyp = 3
/
ATOMIC_SPECIES
Tl 204.38 Tl.upf
Te 127.60 Te.upf
As 74.92 As.upf
ATOMIC_POSITIONS angstrom
Tl 0.000 0.000 0.000
Te 5.348 5.348 5.348
As 3.565 3.565 3.565
CELL_PARAMETERS angstrom
0.000 3.565 3.565
3.565 0.000 3.565
3.565 3.565 0.000
```

First-principles (meta-GGA SCAN) data for TlTe3As at its PBEsol-relaxed geometry, as listed in the Alexandria database. Values from VASP.

Output
calculated total energy: -203.3 eV per cell
space group: Pm-3m
density of states at the Fermi level: 1.0571 states/eV/atom
E above lowest polymorph: 0.000 eV/atom
raw formation energy: 0.2028 eV/atom

Structure (Quantum ESPRESSO input):
```
&SYSTEM
  ibrav = 0, nat = 5, ntyp = 3
/
ATOMIC_SPECIES
Tl 204.38 Tl.upf
Te 127.60 Te.upf
As 74.92 As.upf
ATOMIC_POSITIONS angstrom
Tl 0.000 0.000 0.000
Te 0.000 2.716 2.716
Te 2.716 0.000 2.716
Te 2.716 2.716 0.000
As 2.716 2.716 2.716
CELL_PARAMETERS angstrom
5.432 0.000 0.000
0.000 5.432 0.000
0.000 0.000 5.432
```

First-principles (meta-GGA SCAN) data for TlTe3As at its PBEsol-relaxed geometry, as listed in the Alexandria database. Values from VASP.

Output
calculated total energy: -199.2 eV per cell
space group: Pm-3m
density of states at the Fermi level: 1.0127 states/eV/atom
E above lowest polymorph: 0.827 eV/atom
raw formation energy: 1.0303 eV/atom

Structure (Quantum ESPRESSO input):
```
&SYSTEM
  ibrav = 0, nat = 5, ntyp = 3
/
ATOMIC_SPECIES
Tl 204.38 Tl.upf
Te 127.60 Te.upf
As 74.92 As.upf
ATOMIC_POSITIONS angstrom
Tl 0.000 0.000 0.000
Te 0.000 0.000 2.788
Te 0.000 2.788 0.000
Te 2.788 0.000 0.000
As 2.788 2.788 2.788
CELL_PARAMETERS angstrom
5.575 0.000 0.000
0.000 5.575 0.000
0.000 0.000 5.575
```

First-principles (meta-GGA SCAN) data for TeAs2W at its PBEsol-relaxed geometry, as listed in the Alexandria database. Values from VASP.

Output
calculated total energy: -144.7 eV per cell
space group: Cmm2
density of states at the Fermi level: 0.6567 states/eV/atom
raw formation energy: 0.6588 eV/atom

Structure (Quantum ESPRESSO input):
```
&SYSTEM
  ibrav = 0, nat = 4, ntyp = 3
/
ATOMIC_SPECIES
Te 127.60 Te.upf
As 74.92 As.upf
W 183.84 W.upf
ATOMIC_POSITIONS angstrom
Te 0.000 0.000 0.000
As 0.000 0.000 5.405
As 1.651 0.000 2.747
W 1.651 0.000 7.322
CELL_PARAMETERS angstrom
1.651 -2.456 0.000
1.651 2.456 0.000
0.000 0.000 9.666
```

First-principles (meta-GGA SCAN) data for TeAs2W at its PBEsol-relaxed geometry, as listed in the Alexandria database. Values from VASP.

Output
calculated total energy: -146.2 eV per cell
space group: P4mm
density of states at the Fermi level: 0.4223 states/eV/atom
raw formation energy: 0.2779 eV/atom

Structure (Quantum ESPRESSO input):
```
&SYSTEM
  ibrav = 0, nat = 4, ntyp = 3
/
ATOMIC_SPECIES
Te 127.60 Te.upf
As 74.92 As.upf
W 183.84 W.upf
ATOMIC_POSITIONS angstrom
Te 0.000 0.000 0.000
As 0.000 0.000 3.070
As 1.634 1.634 4.467
W 1.634 1.634 1.694
CELL_PARAMETERS angstrom
3.268 0.000 0.000
0.000 3.268 0.000
0.000 0.000 7.273
```

First-principles (meta-GGA SCAN) data for TeAs2W at its PBEsol-relaxed geometry, as listed in the Alexandria database. Values from VASP.

Output
calculated total energy: -145.1 eV per cell
space group: P2/m
density of states at the Fermi level: 0.7730 states/eV/atom
raw formation energy: 0.5620 eV/atom

Structure (Quantum ESPRESSO input):
```
&SYSTEM
  ibrav = 0, nat = 4, ntyp = 3
/
ATOMIC_SPECIES
Te 127.60 Te.upf
As 74.92 As.upf
W 183.84 W.upf
ATOMIC_POSITIONS angstrom
Te 0.000 0.000 0.000
As 0.487 2.385 3.061
As 2.332 2.385 1.430
W 1.410 0.000 2.245
CELL_PARAMETERS angstrom
3.747 0.000 0.000
0.000 4.770 0.000
-0.928 0.000 4.491
```

First-principles (meta-GGA SCAN) data for TeAs2W at its PBEsol-relaxed geometry, as listed in the Alexandria database. Values from VASP.

Output
calculated total energy: -144.3 eV per cell
space group: C2/m
density of states at the Fermi level: 0.6109 states/eV/atom
raw formation energy: 0.7556 eV/atom

Structure (Quantum ESPRESSO input):
```
&SYSTEM
  ibrav = 0, nat = 4, ntyp = 3
/
ATOMIC_SPECIES
Te 127.60 Te.upf
As 74.92 As.upf
W 183.84 W.upf
ATOMIC_POSITIONS angstrom
Te 0.000 0.000 0.000
As 0.097 1.974 1.854
As 0.097 -1.974 1.854
W 2.728 0.000 0.000
CELL_PARAMETERS angstrom
2.728 -3.947 0.000
2.728 3.947 0.000
-2.535 0.000 3.707
```

First-principles (meta-GGA SCAN) data for YTeAs at its PBEsol-relaxed geometry, as listed in the Alexandria database. Values from VASP.

Output
calculated total energy: -88.2 eV per cell
space group: I4mm
density of states at the Fermi level: 0.4486 states/eV/atom
raw formation energy: -0.9879 eV/atom

Structure (Quantum ESPRESSO input):
```
&SYSTEM
  ibrav = 0, nat = 3, ntyp = 3
/
ATOMIC_SPECIES
Y 88.91 Y.upf
Te 127.60 Te.upf
As 74.92 As.upf
ATOMIC_POSITIONS angstrom
Y 0.000 0.000 0.000
Te 0.000 0.000 6.615
As 0.000 0.000 3.854
CELL_PARAMETERS angstrom
-1.935 1.935 4.916
1.935 -1.935 4.916
1.935 1.935 -4.916
```

First-principles (meta-GGA SCAN) data for YTeAs at its PBEsol-relaxed geometry, as listed in the Alexandria database. Values from VASP.

Output
calculated total energy: -86.5 eV per cell
space group: F-43m
density of states at the Fermi level: 0.4610 states/eV/atom
raw formation energy: -0.4121 eV/atom

Structure (Quantum ESPRESSO input):
```
&SYSTEM
  ibrav = 0, nat = 3, ntyp = 3
/
ATOMIC_SPECIES
Y 88.91 Y.upf
Te 127.60 Te.upf
As 74.92 As.upf
ATOMIC_POSITIONS angstrom
Y 0.000 0.000 0.000
Te 1.741 1.741 1.741
As 3.481 3.481 3.481
CELL_PARAMETERS angstrom
0.000 3.481 3.481
3.481 0.000 3.481
3.481 3.481 0.000
```

First-principles (meta-GGA SCAN) data for ZrTe2As at its PBEsol-relaxed geometry, as listed in the Alexandria database. Values from VASP.

Output
calculated total energy: -249.5 eV per cell
space group: I-42d
density of states at the Fermi level: 1.0732 states/eV/atom
raw formation energy: 0.1622 eV/atom

Structure (Quantum ESPRESSO input):
```
&SYSTEM
  ibrav = 0, nat = 8, ntyp = 3
/
ATOMIC_SPECIES
Zr 91.22 Zr.upf
Te 127.60 Te.upf
As 74.92 As.upf
ATOMIC_POSITIONS angstrom
Zr 0.000 0.000 0.000
Zr 0.000 3.306 3.095
Te 4.960 1.599 -1.548
Te 1.599 1.653 1.548
Te -1.653 1.708 4.643
Te 1.708 1.653 7.738
As 3.306 0.000 3.095
As 0.000 0.000 6.190
CELL_PARAMETERS angstrom
-3.306 3.306 6.190
3.306 -3.306 6.190
3.306 3.306 -6.190
```